1.
## Pr2Er12Sc5 (PBE)

Data for crystalline Pr2Er12Sc5 at its relaxed geometry.

Cell and atoms, written as CIF:
```
data_Pr2Er12Sc5
_chemical_formula_sum 'Pr4 Er24 Sc10'
_symmetry_space_group_name_H-M 'C 1 2/m 1'
_symmetry_Int_Tables_number 12
_cell_length_a 20.239
_cell_length_b 9.050
_cell_length_c 6.273
_cell_angle_alpha 90.00
_cell_angle_beta 90.27
_cell_angle_gamma 90.00
loop_
_symmetry_equiv_pos_as_xyz
'x,y,z'
'-x,-y,-z'
'-x,y,-z'
'x,-y,z'
'x+1/2,y+1/2,z'
'-x+1/2,-y+1/2,-z'
'-x+1/2,y+1/2,-z'
'x+1/2,-y+1/2,z'
loop_
_atom_site_label
_atom_site_fract_x
_atom_site_fract_y
_atom_site_fract_z
Pr1 0.000 0.202 0.000
Er1 0.062 0.500 0.341
Er2 0.136 0.186 0.597
Er3 0.142 0.000 0.079
Er4 0.208 0.329 0.173
Sc1 0.000 0.000 0.500
Sc2 0.099 0.500 0.850
Sc3 0.236 0.500 0.635
```

For the total magnetization, the calculation gives 0.02 Bohr magnetons per cell. As for the crystal system: monoclinic. For the formation energy from the elements, the calculation gives 145 meV/atom.



2.
## PrEr7Sc4 (PBE)

Data for crystalline PrEr7Sc4 at its relaxed geometry.

Cell and atoms, written as CIF:
```
data_PrEr7Sc4
_chemical_formula_sum 'Pr1 Er7 Sc4'
_symmetry_space_group_name_H-M 'P -1'
_symmetry_Int_Tables_number 2
_cell_length_a 6.005
_cell_length_b 6.940
_cell_length_c 8.539
_cell_angle_alpha 90.03
_cell_angle_beta 103.68
_cell_angle_gamma 90.05
loop_
_symmetry_equiv_pos_as_xyz
'x,y,z'
'-x,-y,-z'
loop_
_atom_site_label
_atom_site_fract_x
_atom_site_fract_y
_atom_site_fract_z
Pr1 0.000 0.000 0.000
Er1 0.000 0.500 0.000
Er2 0.225 0.001 0.662
Er3 0.283 0.743 0.340
Er4 0.498 0.255 0.004
Sc1 0.217 0.500 0.660
Sc2 0.276 0.256 0.339
```

For the total magnetization, the calculation gives 0.00 Bohr magnetons per cell. As for the crystal system: triclinic. For the formation energy from the elements, the calculation gives 22 meV/atom.



3.
## PrEr4Sc2 (PBE)

Data for crystalline PrEr4Sc2 at its relaxed geometry.

Cell and atoms, written as CIF:
```
data_PrEr4Sc2
_chemical_formula_sum 'Pr2 Er8 Sc4'
_symmetry_space_group_name_H-M 'P 1 21/m 1'
_symmetry_Int_Tables_number 11
_cell_length_a 5.616
_cell_length_b 6.600
_cell_length_c 11.482
_cell_angle_alpha 90.00
_cell_angle_beta 103.38
_cell_angle_gamma 90.00
loop_
_symmetry_equiv_pos_as_xyz
'x,y,z'
'-x,-y,-z'
'-x,y+1/2,-z'
'x,-y+1/2,z'
loop_
_atom_site_label
_atom_site_fract_x
_atom_site_fract_y
_atom_site_fract_z
Pr1 0.015 0.250 0.367
Er1 0.124 0.250 0.662
Er2 0.239 0.750 0.926
Er3 0.346 0.503 0.204
Sc1 0.196 0.250 0.938
Sc2 0.430 0.750 0.505
```

For the total magnetization, the calculation gives 0.00 Bohr magnetons per cell. As for the crystal system: monoclinic. For the formation energy from the elements, the calculation gives 141 meV/atom. The value obtained for the energy relative to the lowest polymorph listed for this composition is 93 meV/atom.



4.
## PrEr3Sc (PBE)

Data for crystalline PrEr3Sc at its relaxed geometry.

Cell and atoms, written as CIF:
```
data_PrEr3Sc
_chemical_formula_sum 'Pr2 Er6 Sc2'
_symmetry_space_group_name_H-M 'P -1'
_symmetry_Int_Tables_number 2
_cell_length_a 3.486
_cell_length_b 8.522
_cell_length_c 11.187
_cell_angle_alpha 110.02
_cell_angle_beta 98.95
_cell_angle_gamma 90.08
loop_
_symmetry_equiv_pos_as_xyz
'x,y,z'
'-x,-y,-z'
loop_
_atom_site_label
_atom_site_fract_x
_atom_site_fract_y
_atom_site_fract_z
Pr1 0.031 0.314 0.059
Er1 0.136 0.734 0.274
Er2 0.320 0.567 0.641
Er3 0.416 0.977 0.832
Sc1 0.226 0.139 0.451
```

For the total magnetization, the calculation gives 0.00 Bohr magnetons per cell. As for the crystal system: triclinic. For the formation energy from the elements, the calculation gives 79 meV/atom. The value obtained for the energy relative to the lowest polymorph listed for this composition is 48 meV/atom.



5.
## Pr8Er3Sc (PBE)

Data for crystalline Pr8Er3Sc at its relaxed geometry.

Cell and atoms, written as CIF:
```
data_Pr8Er3Sc
_chemical_formula_sum 'Pr16 Er6 Sc2'
_symmetry_space_group_name_H-M 'I -4 2 m'
_symmetry_Int_Tables_number 121
_symmetry_space_group_name_Hall 'I -4 2'
_cell_length_a 8.727
_cell_length_b 8.727
_cell_length_c 11.748
_cell_angle_alpha 90.00
_cell_angle_beta 90.00
_cell_angle_gamma 90.00
loop_
_atom_site_label
_atom_site_fract_x
_atom_site_fract_y
_atom_site_fract_z
Pr1 0.127 0.127 0.257
Pr2 0.240 0.240 0.519
Er1 0.000 0.000 0.000
Er2 0.000 0.500 0.250
Sc1 0.000 0.000 0.500
```

For the total magnetization, the calculation gives 0.00 Bohr magnetons per cell. As for the crystal system: tetragonal. For the formation energy from the elements, the calculation gives 546 meV/atom.



6.
## Pr10ErSc4 (PBE)

Data for crystalline Pr10ErSc4 at its relaxed geometry.

Cell and atoms, written as CIF:
```
data_Pr10ErSc4
_chemical_formula_sum 'Pr20 Er2 Sc8'
_symmetry_space_group_name_H-M 'I 4/m'
_symmetry_Int_Tables_number 87
_symmetry_space_group_name_Hall '-I 4'
_cell_length_a 11.326
_cell_length_b 11.326
_cell_length_c 8.227
_cell_angle_alpha 90.00
_cell_angle_beta 90.00
_cell_angle_gamma 90.00
loop_
_atom_site_label
_atom_site_fract_x
_atom_site_fract_y
_atom_site_fract_z
Pr1 0.000 0.500 0.250
Pr2 0.114 0.770 0.196
Er1 0.000 0.000 0.000
Sc1 0.067 0.209 0.500
```

For the total magnetization, the calculation gives 0.00 Bohr magnetons per cell. As for the crystal system: tetragonal. For the formation energy from the elements, the calculation gives 509 meV/atom.



7.
## PrEr2Sc6 (PBE)

Data for crystalline PrEr2Sc6 at its relaxed geometry.

Cell and atoms, written as CIF:
```
data_PrEr2Sc6
_chemical_formula_sum 'Pr2 Er4 Sc12'
_symmetry_space_group_name_H-M 'P 42/m n m'
_symmetry_Int_Tables_number 136
_symmetry_space_group_name_Hall '-P 4n 2n'
_cell_length_a 7.805
_cell_length_b 7.805
_cell_length_c 9.695
_cell_angle_alpha 90.00
_cell_angle_beta 90.00
_cell_angle_gamma 90.00
loop_
_atom_site_label
_atom_site_fract_x
_atom_site_fract_y
_atom_site_fract_z
Pr1 0.000 0.000 0.000
Er1 0.000 0.000 0.333
Sc1 0.237 0.237 0.500
Sc2 0.239 0.239 0.164
```

For the total magnetization, the calculation gives 0.01 Bohr magnetons per cell. As for the crystal system: tetragonal. For the formation energy from the elements, the calculation gives 858 meV/atom.



8.
## Pr10Er4Sc (PBE)

Data for crystalline Pr10Er4Sc at its relaxed geometry.

Cell and atoms, written as CIF:
```
data_Pr10Er4Sc
_chemical_formula_sum 'Pr20 Er8 Sc2'
_symmetry_space_group_name_H-M 'I 4/m'
_symmetry_Int_Tables_number 87
_symmetry_space_group_name_Hall '-I 4'
_cell_length_a 9.919
_cell_length_b 9.919
_cell_length_c 10.540
_cell_angle_alpha 90.00
_cell_angle_beta 90.00
_cell_angle_gamma 90.00
loop_
_atom_site_label
_atom_site_fract_x
_atom_site_fract_y
_atom_site_fract_z
Pr1 0.000 0.500 0.250
Pr2 0.115 0.212 0.160
Er1 0.057 0.323 0.500
Sc1 0.000 0.000 0.500
```

For the total magnetization, the calculation gives 0.00 Bohr magnetons per cell. As for the crystal system: tetragonal. For the formation energy from the elements, the calculation gives 331 meV/atom.



9.
## PrEr3Sc2 (PBE)

Data for crystalline PrEr3Sc2 at its relaxed geometry.

Cell and atoms, written as CIF:
```
data_PrEr3Sc2
_chemical_formula_sum 'Pr4 Er12 Sc8'
_symmetry_space_group_name_H-M 'C m c m'
_symmetry_Int_Tables_number 63
_symmetry_space_group_name_Hall '-C 2c 2'
_cell_length_a 14.258
_cell_length_b 9.713
_cell_length_c 5.460
_cell_angle_alpha 90.00
_cell_angle_beta 90.00
_cell_angle_gamma 90.00
loop_
_atom_site_label
_atom_site_fract_x
_atom_site_fract_y
_atom_site_fract_z
Pr1 0.000 0.232 0.250
Er1 0.000 0.405 0.750
Er2 0.238 0.371 0.750
Sc1 0.108 0.092 0.750
```

For the total magnetization, the calculation gives 0.00 Bohr magnetons per cell. As for the crystal system: orthorhombic. For the formation energy from the elements, the calculation gives 304 meV/atom. The value obtained for the energy relative to the lowest polymorph listed for this composition is 152 meV/atom.